Computed, not measured: crystalline TaFeCo2 at its relaxed geometry at the PBE level of DFT.

Cell: 2.8894 4.0636 4.3423 Å, 90.00 90.00 90.00°
Atoms (fractional coordinates):
Ta1 0.0000 0.0000 0.0000
Fe1 0.0000 0.5000 0.4219
Co1 0.5000 0.0000 0.4973
Co2 0.5000 0.5000 0.8831

Values from the calculation:
The density of states at the Fermi level comes out at 1.1413 states/eV per atom. Its energy above the most stable polymorph in this dataset is 15.97 kJ/mol of atoms. The final energy is -34.558 eV for the cell shown. The space-group type is Pmm2 (25). As for the energy relative to the elements: -0.7 kJ per mole of atoms.